Density functional theory data (PBE-GGA) for crystalline K2SrMg at its relaxed geometry.

Results
space group = Cm (8)
magnetization = 0.000 μB per atom

Cell: 7.125 7.125 7.451 Å, 109.88 109.88 36.44°
Sites, in units of the cell vectors:
K 0.000 0.000 0.000
K 0.221 0.221 0.788
Sr 0.427 0.427 0.431
Mg 0.702 0.702 0.356

Density functional theory data (PBE-GGA) for crystalline K2SrMg at its relaxed geometry.

Results
space group = I4/mmm (139)
magnetization = 0.000 μB per atom

Cell: 7.704 7.704 7.704 Å, 138.36 138.36 60.36°
Sites, in units of the cell vectors:
K 0.250 0.750 0.500
K 0.750 0.250 0.500
Sr 0.000 0.000 0.000
Mg 0.500 0.500 0.000

Density functional theory data (PBE-GGA) for crystalline KSrMg at its relaxed geometry.

Results
space group = I4mm (107)
magnetization = 0.000 μB per atom

Cell: 8.754 8.754 8.754 Å, 152.68 152.68 39.02°
Sites, in units of the cell vectors:
K 0.000 0.000 0.000
Sr 0.716 0.716 0.000
Mg 0.344 0.344 0.000

Let's list VASP energy in order: -4.81 -4.79 -4.03 eV/f.u..
Let's list theoretical density in order: 1.5 1.6 1.8 g/cm3.
Let's list DFT formation energy in order: 0.17 0.17 0.11 eV/atom.